# InCuSnS4, optimized geometry, DFT PBEsol
data_InCuSnS4
_chemical_formula_sum 'In4 Cu4 Sn4 S16'
_symmetry_space_group_name_H-M 'I m m a'
_symmetry_Int_Tables_number 74
_symmetry_space_group_name_Hall '-I 2b 2'
_cell_length_a 7.3674
_cell_length_b 7.4162
_cell_length_c 10.4404
_cell_angle_alpha 90.00
_cell_angle_beta 90.00
_cell_angle_gamma 90.00
loop_
_atom_site_label
_atom_site_fract_x
_atom_site_fract_y
_atom_site_fract_z
In1 0.2500 0.2500 0.2500
Cu1 0.0000 0.2500 0.6330
Sn1 0.0000 0.0000 0.0000
S1 0.0000 0.0041 0.2447
S2 0.2470 0.2500 0.9982
# E_form (uncorrected) = -0.48 eV per atom



# ZnIn2Cu2S5, optimized geometry, DFT PBEsol
data_ZnIn2Cu2S5
_chemical_formula_sum 'Zn2 In4 Cu4 S10'
_symmetry_space_group_name_H-M 'C 1 m 1'
_symmetry_Int_Tables_number 8
_cell_length_a 20.1175
_cell_length_b 3.8788
_cell_length_c 5.4399
_cell_angle_alpha 90.00
_cell_angle_beta 105.66
_cell_angle_gamma 90.00
loop_
_symmetry_equiv_pos_as_xyz
'x,y,z'
'x,-y,z'
'x+1/2,y+1/2,z'
'x+1/2,-y+1/2,z'
loop_
_atom_site_label
_atom_site_fract_x
_atom_site_fract_y
_atom_site_fract_z
Zn1 0.0000 0.0000 0.0000
In1 0.1904 0.0000 0.1873
In2 0.3964 0.0000 0.4034
Cu1 0.0938 0.5000 0.5843
Cu2 0.2940 0.5000 0.7875
S1 0.0023 0.5000 0.7603
S2 0.0899 0.0000 0.3624
S3 0.1942 0.5000 0.9068
S4 0.2938 0.0000 0.5682
S5 0.3938 0.5000 0.1119
# E_form (uncorrected) = -0.55 eV per atom
# DOS at the Fermi energy = 0.03 states/eV/atom



Repeat the first record exactly.
# InCuSnS4, optimized geometry, DFT PBEsol
data_InCuSnS4
_chemical_formula_sum 'In4 Cu4 Sn4 S16'
_symmetry_space_group_name_H-M 'I m m a'
_symmetry_Int_Tables_number 74
_symmetry_space_group_name_Hall '-I 2b 2'
_cell_length_a 7.3674
_cell_length_b 7.4162
_cell_length_c 10.4404
_cell_angle_alpha 90.00
_cell_angle_beta 90.00
_cell_angle_gamma 90.00
loop_
_atom_site_label
_atom_site_fract_x
_atom_site_fract_y
_atom_site_fract_z
In1 0.2500 0.2500 0.2500
Cu1 0.0000 0.2500 0.6330
Sn1 0.0000 0.0000 0.0000
S1 0.0000 0.0041 0.2447
S2 0.2470 0.2500 0.9982
# E_form (uncorrected) = -0.48 eV per atom